PuTlBr3 | GGA-PBE | relaxed

```
PuTlBr3
1.0
4.228 0.000 -0.926
-2.363 8.218 -0.675
0.072 -0.038 10.440
Pu Tl Br
2 2 6
Cartesian
0.586 7.484 3.516 Pu
2.132 5.196 0.461 Pu
3.866 0.281 8.384 Tl
1.287 4.142 6.708 Tl
3.228 1.907 5.463 Br
-1.119 6.723 5.846 Br
-1.944 8.120 2.079 Br
-0.319 5.919 9.498 Br
0.434 4.560 2.825 Br
1.924 2.517 9.629 Br
```

- Spin magnetization: 12.00 μB per cell
- SG: C2/m
- Distance to the lowest polymorph of the same formula: 0.00 eV/f.u.
- Uncorrected formation energy: -5.9 eV/f.u.
- Mass density: 6.3 g/cm3


PaMoN4 | GGA-PBE | relaxed

```
PaMoN4
1.0
-3.487 3.417 2.518
-2.684 0.360 -4.205
-3.054 -4.283 1.582
Pa Mo N
2 2 8
Cartesian
-2.105 -0.891 -1.707 Pa
-5.376 -1.324 0.343 Pa
-2.290 -3.212 1.187 Mo
-2.507 0.638 1.655 Mo
-3.311 1.072 -2.292 N
-4.170 -3.286 0.929 N
-3.081 -0.716 0.453 N
-4.400 -1.498 -1.817 N
-5.761 0.748 -0.756 N
-5.207 0.455 1.911 N
-3.243 2.168 0.804 N
-7.725 -0.965 0.351 N
```

- Spin magnetization: 1.60 μB per cell
- SG: P4/nbm
- Uncorrected formation energy: -3.4 eV/f.u.
- Mass density: 8.4 g/cm3